No. 1
! InSn2Ge, optimized geometry, DFT PBE; values from VASP
! Total magnetic moment   0.00 Bohr magnetons per cell
! E   -3.737 eV/atom
! ΔE to the lowest computed polymorph   0 meV per atom
! ρ   6.574 g/cm3
&SYSTEM
  ibrav = 0, nat = 12, ntyp = 3
/
ATOMIC_SPECIES
In 114.82 In.upf
Sn 118.71 Sn.upf
Ge 72.64 Ge.upf
CELL_PARAMETERS angstrom
4.0553 0.0000 0.0000
-2.0276 3.5120 0.0000
0.0000 0.0000 22.6069
ATOMIC_POSITIONS crystal
In 0.0000 0.0000 0.0000
In 0.3333 0.6667 0.6667
In 0.6667 0.3333 0.3333
Sn 0.0000 0.0000 0.2387
Sn 0.0000 0.0000 0.7613
Sn 0.3333 0.6667 0.4279
Sn 0.3333 0.6667 0.9054
Sn 0.6667 0.3333 0.0946
Sn 0.6667 0.3333 0.5721
Ge 0.0000 0.0000 0.5000
Ge 0.3333 0.6667 0.1667
Ge 0.6667 0.3333 0.8333

***

No. 2
! Ba3TbAl2O8, optimized geometry, DFT PBE; values from VASP
! Total magnetic moment   1.08 Bohr magnetons per cell
! E   -6.960 eV/atom
! ρ   5.356 g/cm3
! Raw formation energy   -2.849 eV/atom
&SYSTEM
  ibrav = 0, nat = 14, ntyp = 4
/
ATOMIC_SPECIES
Ba 137.33 Ba.upf
Tb 158.93 Tb.upf
Al 26.98 Al.upf
O 16.00 O.upf
CELL_PARAMETERS angstrom
5.9570 0.0000 0.0000
-2.9785 5.1589 0.0000
0.0000 0.0000 7.5956
ATOMIC_POSITIONS crystal
Ba 0.0000 0.0000 0.0000
Ba 0.3333 0.6667 0.6667
Ba 0.6667 0.3333 0.3333
Tb 0.0000 0.0000 0.5000
Al 0.3333 0.6667 0.2284
Al 0.6667 0.3333 0.7716
O 0.1736 0.3472 0.3168
O 0.1736 0.8264 0.3168
O 0.3333 0.6667 0.9976
O 0.3472 0.1736 0.6832
O 0.6528 0.8264 0.3168
O 0.6667 0.3333 0.0024
O 0.8264 0.1736 0.6832
O 0.8264 0.6528 0.6832

***

No. 3
! PuTaAu, optimized geometry, DFT PBE; values from VASP
! Total magnetic moment   0.00 Bohr magnetons per cell
! E   -9.706 eV/atom
! ρ   19.280 g/cm3
&SYSTEM
  ibrav = 0, nat = 12, ntyp = 3
/
ATOMIC_SPECIES
Pu 244.00 Pu.upf
Ta 180.95 Ta.upf
Au 196.97 Au.upf
CELL_PARAMETERS angstrom
4.6181 0.0000 0.0000
0.0000 4.6203 0.0000
-0.0151 0.0000 10.0413
ATOMIC_POSITIONS crystal
Pu 0.2498 0.0000 0.0539
Pu 0.2502 0.5000 0.9461
Pu 0.7502 0.0000 0.9461
Pu 0.7498 0.5000 0.0539
Ta 0.2504 0.0000 0.7478
Ta 0.2496 0.5000 0.2522
Ta 0.7496 0.0000 0.2522
Ta 0.7504 0.5000 0.7478
Au 0.2500 0.0000 0.4124
Au 0.2500 0.5000 0.5876
Au 0.7500 0.0000 0.5876
Au 0.7500 0.5000 0.4124

***

No. 4
! SrPr3O, optimized geometry, DFT PBE; values from VASP
! Total magnetic moment   0.00 Bohr magnetons per cell
! E   -5.134 eV/atom
! ρ   6.021 g/cm3
! Raw formation energy   -0.939 eV/atom
&SYSTEM
  ibrav = 0, nat = 5, ntyp = 3
/
ATOMIC_SPECIES
Sr 87.62 Sr.upf
Pr 140.91 Pr.upf
O 16.00 O.upf
CELL_PARAMETERS angstrom
5.2556 0.0000 0.0000
0.0000 5.2556 0.0000
0.0000 0.0000 5.2556
ATOMIC_POSITIONS crystal
Sr 0.0000 0.0000 0.0000
Pr 0.0000 0.5000 0.5000
Pr 0.5000 0.0000 0.5000
Pr 0.5000 0.5000 0.0000
O 0.5000 0.5000 0.5000

***

No. 5
! Mn3InPd, optimized geometry, DFT PBE; values from VASP
! Total magnetic moment   13.04 Bohr magnetons per cell
! E   -6.348 eV/atom
! ΔE to the lowest computed polymorph   0 meV per atom
! ρ   5.606 g/cm3
&SYSTEM
  ibrav = 0, nat = 5, ntyp = 3
/
ATOMIC_SPECIES
Mn 54.94 Mn.upf
In 114.82 In.upf
Pd 106.42 Pd.upf
CELL_PARAMETERS angstrom
4.8539 0.0000 0.0000
0.0000 4.8539 0.0000
0.0000 0.0000 4.8539
ATOMIC_POSITIONS crystal
Mn 0.0000 0.0000 0.5000
Mn 0.0000 0.5000 0.0000
Mn 0.5000 0.0000 0.0000
In 0.5000 0.5000 0.5000
Pd 0.0000 0.0000 0.0000

***

No. 6
! Tm6TlCd, optimized geometry, DFT PBE; values from VASP
! Total magnetic moment   0.00 Bohr magnetons per cell
! E   -3.922 eV/atom
! ρ   9.772 g/cm3
&SYSTEM
  ibrav = 0, nat = 8, ntyp = 3
/
ATOMIC_SPECIES
Tm 168.93 Tm.upf
Tl 204.38 Tl.upf
Cd 112.41 Cd.upf
CELL_PARAMETERS angstrom
0.0000 3.5363 9.0583
3.5287 0.0000 9.0583
3.5287 3.5363 0.0000
ATOMIC_POSITIONS crystal
Tm 0.1162 0.1162 0.3838
Tm 0.2490 0.2490 0.7510
Tm 0.3838 0.3838 0.1162
Tm 0.6162 0.6162 0.8838
Tm 0.7510 0.7510 0.2490
Tm 0.8838 0.8838 0.6162
Tl 0.5000 0.5000 0.5000
Cd 0.0000 0.0000 0.0000

***

No. 7
! MnZn2HPd, optimized geometry, DFT PBE; values from VASP
! Total magnetic moment   3.05 Bohr magnetons per cell
! E   -4.145 eV/atom
! ρ   8.198 g/cm3
&SYSTEM
  ibrav = 0, nat = 5, ntyp = 4
/
ATOMIC_SPECIES
Mn 54.94 Mn.upf
Zn 65.41 Zn.upf
H 1.01 H.upf
Pd 106.42 Pd.upf
CELL_PARAMETERS angstrom
4.1590 0.0000 0.0000
0.0000 4.1590 0.0000
0.0000 0.0000 3.4332
ATOMIC_POSITIONS crystal
Mn 0.0000 0.0000 0.0000
Zn 0.0000 0.5000 0.5000
Zn 0.5000 0.0000 0.5000
H 0.0000 0.0000 0.5000
Pd 0.5000 0.5000 0.0000

***

No. 8
! Na3CdHg2Bi3, optimized geometry, DFT PBE; values from VASP
! Total magnetic moment   0.00 Bohr magnetons per cell
! E   -2.091 eV/atom
! ρ   7.968 g/cm3
&SYSTEM
  ibrav = 0, nat = 9, ntyp = 4
/
ATOMIC_SPECIES
Na 22.99 Na.upf
Cd 112.41 Cd.upf
Hg 200.59 Hg.upf
Bi 208.98 Bi.upf
CELL_PARAMETERS angstrom
9.1085 0.0000 0.0000
-4.5542 7.8882 0.0000
0.0000 0.0000 3.5080
ATOMIC_POSITIONS crystal
Na 0.0000 0.3726 0.0000
Na 0.3726 0.0000 0.0000
Na 0.6274 0.6274 0.0000
Cd 0.0000 0.0000 0.0000
Hg 0.3333 0.6667 0.5000
Hg 0.6667 0.3333 0.5000
Bi 0.0000 0.7029 0.5000
Bi 0.2971 0.2971 0.5000
Bi 0.7029 0.0000 0.5000

***

No. 9
! Ac3HfSi2N6, optimized geometry, DFT PBE; values from VASP
! Total magnetic moment   0.00 Bohr magnetons per cell
! E   -8.172 eV/atom
! ρ   8.407 g/cm3
! Raw formation energy   -1.249 eV/atom
&SYSTEM
  ibrav = 0, nat = 12, ntyp = 4
/
ATOMIC_SPECIES
Ac 227.00 Ac.upf
Hf 178.49 Hf.upf
Si 28.09 Si.upf
N 14.01 N.upf
CELL_PARAMETERS angstrom
5.7979 0.0000 0.0000
-2.8990 5.0212 0.0000
0.0000 0.0000 6.7827
ATOMIC_POSITIONS crystal
Ac 0.0000 0.0000 0.0000
Ac 0.3333 0.6667 0.6566
Ac 0.6667 0.3333 0.3434
Hf 0.0000 0.0000 0.5000
Si 0.3333 0.6667 0.2060
Si 0.6667 0.3333 0.7940
N 0.1728 0.3456 0.3074
N 0.1728 0.8272 0.3074
N 0.3456 0.1728 0.6926
N 0.6544 0.8272 0.3074
N 0.8272 0.1728 0.6926
N 0.8272 0.6544 0.6926

***

No. 10
! HoTmBeHg, optimized geometry, DFT PBE; values from VASP
! Total magnetic moment   0.00 Bohr magnetons per cell
! E   -3.401 eV/atom
! ρ   9.937 g/cm3
&SYSTEM
  ibrav = 0, nat = 16, ntyp = 4
/
ATOMIC_SPECIES
Ho 164.93 Ho.upf
Tm 168.93 Tm.upf
Be 9.01 Be.upf
Hg 200.59 Hg.upf
CELL_PARAMETERS angstrom
7.1353 0.0000 0.0000
0.0000 7.1353 0.0000
0.0000 0.0000 7.1353
ATOMIC_POSITIONS crystal
Ho 0.0000 0.0000 0.0000
Ho 0.0000 0.5000 0.5000
Ho 0.5000 0.0000 0.5000
Ho 0.5000 0.5000 0.0000
Tm 0.0000 0.0000 0.5000
Tm 0.0000 0.5000 0.0000
Tm 0.5000 0.0000 0.0000
Tm 0.5000 0.5000 0.5000
Be 0.2500 0.2500 0.7500
Be 0.2500 0.7500 0.2500
Be 0.7500 0.2500 0.2500
Be 0.7500 0.7500 0.7500
Hg 0.2500 0.2500 0.2500
Hg 0.2500 0.7500 0.7500
Hg 0.7500 0.2500 0.7500
Hg 0.7500 0.7500 0.2500

***

No. 11
! Nd3Ho6Tm2In, optimized geometry, DFT PBE; values from VASP
! Total magnetic moment   0.04 Bohr magnetons per cell
! E   -4.487 eV/atom
! ρ   8.381 g/cm3
&SYSTEM
  ibrav = 0, nat = 12, ntyp = 4
/
ATOMIC_SPECIES
Nd 144.24 Nd.upf
Ho 164.93 Ho.upf
Tm 168.93 Tm.upf
In 114.82 In.upf
CELL_PARAMETERS angstrom
3.0660 -5.3085 0.0000
3.0660 5.3085 0.0000
-2.0445 0.0000 11.4123
ATOMIC_POSITIONS crystal
Nd 0.0000 0.0000 0.0000
Nd 0.3332 0.6668 0.0000
Nd 0.6668 0.3332 0.0000
Ho 0.0916 0.4199 0.2581
Ho 0.2520 0.2520 0.7428
Ho 0.4199 0.0916 0.2581
Ho 0.5801 0.9084 0.7419
Ho 0.7480 0.7480 0.2572
Ho 0.9084 0.5801 0.7419
Tm 0.1663 0.8337 0.5000
Tm 0.8337 0.1663 0.5000
In 0.5000 0.5000 0.5000

***

No. 12
! PmErU2P4, optimized geometry, DFT PBE; values from VASP
! Total magnetic moment   4.56 Bohr magnetons per cell
! E   -7.964 eV/atom
! ρ   8.414 g/cm3
&SYSTEM
  ibrav = 0, nat = 8, ntyp = 4
/
ATOMIC_SPECIES
Pm 145.00 Pm.upf
Er 167.26 Er.upf
U 238.03 U.upf
P 30.97 P.upf
CELL_PARAMETERS angstrom
6.8719 0.0000 0.0000
0.0000 3.9674 0.0000
-2.2922 0.0000 6.6031
ATOMIC_POSITIONS crystal
Pm 0.0000 0.0000 0.0000
Er 0.5000 0.5000 0.0000
U 0.0000 0.5000 0.5000
U 0.5000 0.0000 0.5000
P 0.2528 0.0000 0.7436
P 0.2585 0.5000 0.2604
P 0.7415 0.5000 0.7396
P 0.7472 0.0000 0.2564